1.
Compound: KBeAs2
Source: Alexandria
Functional: GGA-PBE
Structure: relaxed

Cell: 7.562 3.468 6.862 Å, 90.00 100.43 90.00°
Space group C2/m (No. 12)
Asymmetric unit:
K: 0.000 0.000 0.000
Be: 0.000 0.500 0.500
As: 0.226 0.000 0.640

## Properties
E_form ... -41 meV per atom
Final energy ... -3.57 eV per atom

---

2.
Compound: K2BeAs
Source: Alexandria
Functional: GGA-PBE
Structure: relaxed

Cell: 3.4959 3.4959 33.2767 Å, 90.00 90.00 120.00°
Space group R-3m (No. 166, hexagonal axes)
Asymmetric unit:
K: 0.0000 0.0000 0.2445
Be: 0.0000 0.0000 0.0000
As: 0.0000 0.0000 0.5000

## Properties
E_form ... 704 meV per atom
Final energy ... -1.94 eV per atom
E above lowest polymorph ... 0.945 eV/atom

---

3.
Compound: K2BeAs
Source: Alexandria
Functional: GGA-PBE
Structure: relaxed

Cell: 4.509 4.509 22.365 Å, 90.00 90.00 90.00°
Space group I-42d (No. 122)
Asymmetric unit:
K: 0.247 0.250 0.125
Be: 0.000 0.000 0.000
As: 0.000 0.000 0.500

## Properties
E_form ... 710 meV per atom
Final energy ... -1.93 eV per atom
E above lowest polymorph ... 0.951 eV/atom

---

DOS at the Fermi energy per entry: 1.6; 3.2; 1.7 states/eV/f.u.